Below is a geometry-optimized PmRuBr structure, with properties calculated at the PBE level.

Computed properties:
Space group = No. 12
Distance to the lowest polymorph of the same formula = 0.000 eV per atom
Formation energy from raw total energies = -0.957 eV/atom

Lattice parameters (Å, degrees): 7.166 4.282 11.496 90.00 92.11 90.00
Sites, in units of the cell vectors:
1 Pm 0.010 0.000 0.178
2 Pm 0.490 0.500 0.822
3 Pm 0.510 0.500 0.178
4 Pm 0.990 0.000 0.822
5 Ru 0.178 0.500 0.992
6 Ru 0.322 0.000 0.008
7 Ru 0.678 0.000 0.992
8 Ru 0.822 0.500 0.008
9 Br 0.177 0.500 0.340
10 Br 0.323 0.000 0.660
11 Br 0.677 0.000 0.340
12 Br 0.823 0.500 0.660

***

Below is a geometry-optimized Co2Si2Ag structure, with properties calculated at the PBE level.

Computed properties:
Space group = No. 139
Distance to the lowest polymorph of the same formula = 0.153 eV per atom
Formation energy from raw total energies = -0.153 eV/atom

Lattice parameters (Å, degrees): 3.550 3.550 10.579 90.00 90.00 90.00
Sites, in units of the cell vectors:
1 Co 0.000 0.000 0.115
2 Co 0.000 0.000 0.885
3 Co 0.500 0.500 0.385
4 Co 0.500 0.500 0.615
5 Si 0.000 0.500 0.250
6 Si 0.000 0.500 0.750
7 Si 0.500 0.000 0.250
8 Si 0.500 0.000 0.750
9 Ag 0.000 0.000 0.500
10 Ag 0.500 0.500 0.000

***

Below is a geometry-optimized InSiSe2 structure, with properties calculated at the PBE level.

Computed properties:
Space group = No. 25
Formation energy from raw total energies = -0.015 eV/atom

Lattice parameters (Å, degrees): 2.826 4.511 8.547 90.00 90.00 90.00
Sites, in units of the cell vectors:
1 In 0.000 0.000 0.000
2 Si 0.000 0.500 0.502
3 Se 0.000 0.000 0.374
4 Se 0.000 0.500 0.786

***

Below is a geometry-optimized ReNi2W structure, with properties calculated at the PBE level.

Computed properties:
Space group = No. 160
Energy relative to the elements = 207 meV per atom

Lattice parameters (Å, degrees): 2.710 2.710 25.699 90.00 90.00 120.00
Sites, in units of the cell vectors:
1 Re 0.000 0.000 0.000
2 Re 0.333 0.667 0.667
3 Re 0.667 0.333 0.333
4 Ni 0.000 0.000 0.253
5 Ni 0.000 0.000 0.509
6 Ni 0.333 0.667 0.176
7 Ni 0.333 0.667 0.920
8 Ni 0.667 0.333 0.586
9 Ni 0.667 0.333 0.842
10 W 0.000 0.000 0.760
11 W 0.333 0.667 0.427
12 W 0.667 0.333 0.093

***

Below is a geometry-optimized La8ZnGa3I4 structure, with properties calculated at the PBE level.

Computed properties:
Space group = No. 12
Formation energy from raw total energies = -0.765 eV/atom

Lattice parameters (Å, degrees): 8.997 8.997 9.232 119.22 119.22 59.93
Sites, in units of the cell vectors:
1 La 0.235 0.742 0.719
2 La 0.238 0.238 0.715
3 La 0.258 0.258 0.281
4 La 0.258 0.765 0.281
5 La 0.742 0.235 0.719
6 La 0.742 0.742 0.719
7 La 0.762 0.762 0.285
8 La 0.765 0.258 0.281
9 Zn 0.500 0.500 0.500
10 Ga 0.000 0.000 0.500
11 Ga 0.000 0.500 0.500
12 Ga 0.500 0.000 0.500
13 I 0.000 0.000 0.000
14 I 0.000 0.500 0.000
15 I 0.500 0.000 0.000
16 I 0.500 0.500 0.000

***

Below is a geometry-optimized K3Cd2O2F3 structure, with properties calculated at the PBE level.

Computed properties:
Space group = No. 139
Formation energy from raw total energies = -1.925 eV/atom

Lattice parameters (Å, degrees): 11.455 11.455 11.455 158.46 158.46 30.65
Sites, in units of the cell vectors:
1 K 0.000 0.000 0.000
2 K 0.379 0.379 0.000
3 K 0.621 0.621 0.000
4 Cd 0.220 0.220 0.000
5 Cd 0.780 0.780 0.000
6 O 0.250 0.750 0.500
7 O 0.750 0.250 0.500
8 F 0.114 0.114 0.000
9 F 0.500 0.500 0.000
10 F 0.886 0.886 0.000

***

Below is a geometry-optimized PaFeSi structure, with properties calculated at the PBE level.

Computed properties:
Space group = No. 187
Formation energy from raw total energies = -0.516 eV/atom

Lattice parameters (Å, degrees): 4.157 4.157 3.466 90.00 90.00 120.00
Sites, in units of the cell vectors:
1 Pa 0.000 0.000 0.000
2 Fe 0.667 0.333 0.500
3 Si 0.333 0.667 0.500

***

Below is a geometry-optimized Te2Rh structure, with properties calculated at the PBE level.

Computed properties:
Space group = No. 225
Formation energy from raw total energies = -0.189 eV/atom

Lattice parameters (Å, degrees): 6.622 6.622 6.622 90.00 90.00 90.00
Sites, in units of the cell vectors:
1 Te 0.250 0.250 0.250
2 Te 0.250 0.250 0.750
3 Te 0.250 0.750 0.250
4 Te 0.250 0.750 0.750
5 Te 0.750 0.250 0.250
6 Te 0.750 0.250 0.750
7 Te 0.750 0.750 0.250
8 Te 0.750 0.750 0.750
9 Rh 0.000 0.000 0.000
10 Rh 0.000 0.500 0.500
11 Rh 0.500 0.000 0.500
12 Rh 0.500 0.500 0.000

***

Below is a geometry-optimized SmDy4Ho structure, with properties calculated at the PBE level.

Computed properties:
Space group = No. 2
Distance to the lowest polymorph of the same formula = 0.000 eV per atom
Energy relative to the elements = 18 meV per atom

Lattice parameters (Å, degrees): 5.015 6.153 7.107 106.84 90.01 113.95
Sites, in units of the cell vectors:
1 Sm 0.000 0.000 0.000
2 Dy 0.333 0.665 0.666
3 Dy 0.334 0.668 0.168
4 Dy 0.666 0.332 0.832
5 Dy 0.667 0.335 0.334
6 Ho 0.000 0.000 0.500

***

Below is a geometry-optimized Tb3Ga2Cu structure, with properties calculated at the PBE level.

Computed properties:
Space group = No. 62
Energy relative to the elements = -472 meV per atom

Lattice parameters (Å, degrees): 11.737 4.331 11.124 90.00 90.00 90.00
Sites, in units of the cell vectors:
1 Tb 0.051 0.250 0.130
2 Tb 0.127 0.750 0.566
3 Tb 0.220 0.250 0.804
4 Tb 0.280 0.750 0.304
5 Tb 0.373 0.250 0.066
6 Tb 0.449 0.750 0.630
7 Tb 0.551 0.250 0.370
8 Tb 0.627 0.750 0.934
9 Tb 0.720 0.250 0.696
10 Tb 0.780 0.750 0.196
11 Tb 0.873 0.250 0.434
12 Tb 0.949 0.750 0.870
13 Ga 0.017 0.750 0.318
14 Ga 0.188 0.750 0.005
15 Ga 0.312 0.250 0.505
16 Ga 0.483 0.250 0.818
17 Ga 0.517 0.750 0.182
18 Ga 0.688 0.750 0.495
19 Ga 0.812 0.250 0.995
20 Ga 0.983 0.250 0.682
21 Cu 0.125 0.250 0.381
22 Cu 0.375 0.750 0.881
23 Cu 0.625 0.250 0.119
24 Cu 0.875 0.750 0.619

***

Below is a geometry-optimized ThH6Ru structure, with properties calculated at the PBE level.

Computed properties:
Space group = No. 166
Energy = -5.0147 eV per atom

Lattice parameters (Å, degrees): 4.601 4.601 4.601 58.74 58.74 58.74
Sites, in units of the cell vectors:
1 Th 0.000 0.000 0.000
2 H 0.055 0.605 0.605
3 H 0.395 0.395 0.945
4 H 0.395 0.945 0.395
5 H 0.605 0.055 0.605
6 H 0.605 0.605 0.055
7 H 0.945 0.395 0.395
8 Ru 0.500 0.500 0.500

***

Below is a geometry-optimized ZrTiP2Au structure, with properties calculated at the PBE level.

Computed properties:
Space group = No. 123
Energy relative to the elements = 102 meV per atom

Lattice parameters (Å, degrees): 4.591 4.591 4.909 90.00 90.00 90.00
Sites, in units of the cell vectors:
1 Zr 0.000 0.000 0.000
2 Ti 0.500 0.500 0.500
3 P 0.000 0.500 0.500
4 P 0.500 0.000 0.500
5 Au 0.500 0.500 0.000